A plane-wave DFT calculation with GGA-PBE was carried out for a relaxed structure of In3FeCo.

Summary:
Energy above the most stable polymorph in this dataset   0 meV/atom
DFT formation energy   0.589 eV/atom
Spin magnetization   3.14 μB/cell

Cell lengths 4.875, 4.875, 4.875 Å; angles 90.00, 90.00, 90.00 degrees
Space group Pm-3m (No. 221)
Unique sites:
In 0.000 0.000 0.500 [3 per cell]
Fe 0.500 0.500 0.500 [1 per cell]
Co 0.000 0.000 0.000 [1 per cell]

***

A plane-wave DFT calculation with GGA-PBE was carried out for a relaxed structure of In2FeCo.

Summary:
DFT formation energy   0.389 eV/atom
Spin magnetization   6.49 μB/cell

Cell lengths 8.675, 3.029, 5.190 Å; angles 90.00, 101.79, 90.00 degrees
Space group C2/m (No. 12)
Unique sites:
In 0.246 0.000 0.245 [4 per cell]
Fe 0.000 0.000 0.500 [2 per cell]
Co 0.000 0.500 0.000 [2 per cell]

***

A plane-wave DFT calculation with GGA-PBE was carried out for a relaxed structure of InFeCo2.

Summary:
DFT formation energy   0.133 eV/atom
Spin magnetization   5.12 μB/cell

Cell lengths 4.147, 4.147, 3.121 Å; angles 90.00, 90.00, 90.00 degrees
Space group P4/mmm (No. 123)
Unique sites:
In 0.000 0.000 0.000 [1 per cell]
Fe 0.500 0.500 0.000 [1 per cell]
Co 0.000 0.500 0.500 [2 per cell]